This record from the Alexandria database describes a relaxed InPd2Pb crystal. The functional is PBE.

Properties
Volume ... 78.7 Å³ per cell
Uncorrected energy ... -0.3344 Ry per atom
Spin magnetization ... 0.0 μB/cell
SG ... P4/mmm, No. 123

```
InPd2Pb
1.0
3.362 0.000 0.000
0.000 3.362 0.000
0.000 0.000 6.959
In Pd Pb
1 2 1
direct
0.000 0.000 0.000
0.500 0.500 0.217
0.500 0.500 0.783
0.000 0.000 0.500
```